1.
The following is a DFT calculation (GGA-PBE) of a relaxed CaY2Si crystal.

POSCAR file:
```
CaY2Si
1.0
7.4939 0.0000 0.0000
0.0000 7.4939 0.0000
0.0000 0.0000 7.4939
Ca Y Si
4 8 4
Direct
0.0000 0.0000 0.0000
0.0000 0.5000 0.5000
0.5000 0.0000 0.5000
0.5000 0.5000 0.0000
0.0000 0.0000 0.5000
0.0000 0.5000 0.0000
0.2500 0.2500 0.7500
0.2500 0.7500 0.2500
0.5000 0.0000 0.0000
0.5000 0.5000 0.5000
0.7500 0.2500 0.2500
0.7500 0.7500 0.7500
0.2500 0.2500 0.2500
0.2500 0.7500 0.7500
0.7500 0.2500 0.7500
0.7500 0.7500 0.2500
```

Results
Space group: F-43m, No. 216
Total magnetization: 1.13 μB/cell
Energy relative to the elements, uncorrected: 0.10 eV/atom

2.
The following is a DFT calculation (GGA-PBE) of a relaxed CaY2Si crystal.

POSCAR file:
```
CaY2Si
1.0
6.6651 0.0000 0.0000
0.0000 10.6314 0.0000
-1.4089 0.0000 3.1069
Ca Y Si
2 4 2
Direct
0.0000 0.0000 0.0000
0.5000 0.5000 0.0000
0.2500 0.2500 0.5000
0.2500 0.7500 0.5000
0.7500 0.2500 0.5000
0.7500 0.7500 0.5000
0.0000 0.5000 0.0000
0.5000 0.0000 0.0000
```

Results
Space group: C2/m, No. 12
Total magnetization: 0.00 μB/cell
Energy relative to the elements, uncorrected: 0.04 eV/atom

3.
The following is a DFT calculation (GGA-PBE) of a relaxed Ca2YSi crystal.

POSCAR file:
```
Ca2YSi
1.0
7.5073 0.0000 0.0000
0.0000 7.5073 0.0000
0.0000 0.0000 7.5073
Ca Y Si
8 4 4
Direct
0.0000 0.0000 0.0000
0.0000 0.5000 0.5000
0.2500 0.2500 0.2500
0.2500 0.7500 0.7500
0.5000 0.0000 0.5000
0.5000 0.5000 0.0000
0.7500 0.2500 0.7500
0.7500 0.7500 0.2500
0.2500 0.2500 0.7500
0.2500 0.7500 0.2500
0.7500 0.2500 0.2500
0.7500 0.7500 0.7500
0.0000 0.0000 0.5000
0.0000 0.5000 0.0000
0.5000 0.0000 0.0000
0.5000 0.5000 0.5000
```

Results
Space group: F-43m, No. 216
Total magnetization: 0.00 μB/cell
Energy relative to the elements, uncorrected: 0.01 eV/atom

4.
The following is a DFT calculation (GGA-PBE) of a relaxed Ca2YSi crystal.

POSCAR file:
```
Ca2YSi
1.0
3.6491 0.0000 0.0000
0.0000 4.5905 0.0000
0.0000 0.0000 6.6821
Ca Y Si
2 1 1
Direct
0.0000 0.0000 0.2233
0.0000 0.0000 0.7767
0.5000 0.5000 0.5000
0.5000 0.5000 0.0000
```

Results
Space group: Pmmm, No. 47
Total magnetization: 0.00 μB/cell
Energy relative to the elements, uncorrected: -0.04 eV/atom